(1)
InMo4SN2: optimized geometry, PBE-GGA.

abc: 2.9926 2.9926 13.6985
angles: 90.00 90.00 120.00
Space group P-6m2 (No. 187)
Symmetry-distinct sites (fractional):
In (0.0000, 0.0000, 0.0000)
Mo (0.0000, 0.0000, 0.3683)
Mo (0.3333, 0.6667, 0.1753)
S (0.3333, 0.6667, 0.5000)
N (0.6667, 0.3333, 0.2685)

Calculated values
Calculated total energy   -8.365 eV/atom
M_tot   0.006 μB per cell

(2)
MgReOsAu: optimized geometry, PBE-GGA.

abc: 6.296 6.296 6.296
angles: 90.00 90.00 90.00
Space group F-43m (No. 216)
Symmetry-distinct sites (fractional):
Mg (0.000, 0.000, 0.000)
Re (0.250, 0.250, 0.250)
Os (0.000, 0.000, 0.500)
Au (0.250, 0.250, 0.750)

Calculated values
Calculated total energy   -6.772 eV/atom
M_tot   0.005 μB per cell